DFT (PBE) results for a relaxed structure of As2SeBrCl.

## Properties
Fermi-level density of states (states/eV/f.u.): 4.47
E_tot (eV/atom): -2.1401
V (Å³ per atom): 28.03
Formation energy from raw total energies (eV per formula unit): 5.603
Mass density (g/cm3): 4.08
Offset from the most stable computed form (meV/atom): 447

Cell: 5.2639 5.2639 5.0577 Å, 90.00 90.00 90.00°
Closest atoms and distances in Å follow each position.
Space group P4/mmm (No. 123)
Asymmetric unit:
As (0.0000, 0.5000, 0.0000) (multiplicity 2)  2 Br 2.63
Se (0.0000, 0.0000, 0.5000) (multiplicity 1)  2 Br 2.53
Br (0.0000, 0.0000, 0.0000) (multiplicity 1)  2 Se 2.53, 4 As 2.63
Cl (0.5000, 0.5000, 0.5000) (multiplicity 1)  8 As 3.65, 4 Se 3.72